VASP calculation (PBE) on an optimized crystal structure of CdInTe2.

Computed properties:
energy relative to the elements, uncorrected	0.042	eV per atom
energy	-2.443	eV/atom
magnetic moment	0.0	Bohr magnetons per cell

Cell lengths 4.0304, 4.8284, 12.2806 Å; angles 90.00, 90.00, 90.00 degrees
With the nearest neighbours (Å) after each atom.
Space group Immm (No. 71)
Inequivalent atoms, fractional coordinates:
Cd: 0.0000 0.0000 0.0000 x2  4 In 3.14
In: 0.0000 0.0000 0.5000 x2  4 Cd 3.14
Te: 0.0000 0.5000 0.2494 x4  4 Te 3.14

VASP calculation (PBE) on an optimized crystal structure of NbNi7Pt4.

Computed properties:
ΔH_f (0 K)	-0.19	eV/atom
energy	-6.414	eV/atom
magnetic moment	3.1	Bohr magnetons per cell

Cell lengths 5.2716, 5.8645, 5.9524 Å; angles 73.18, 78.61, 64.26 degrees
With the nearest neighbours (Å) after each atom.
Space group P-1 (No. 2)
Inequivalent atoms, fractional coordinates:
Nb: 0.0000 0.0000 0.0000 x1  8 Ni 2.59-2.65, 4 Pt 2.66-2.69
Ni: 0.0915 0.1618 0.3294 x2  6 Ni 2.59-2.78, 5 Pt 2.59-2.76, 1 Nb 2.61
Ni: 0.2542 0.4979 0.0029 x2  4 Pt 2.55-2.61, 7 Ni 2.58-2.68, 1 Nb 2.65
Ni: 0.3347 0.6745 0.3212 x2  6 Ni 2.58-2.78, 1 Nb 2.59, 5 Pt 2.61-2.74
Ni: 0.5000 0.0000 0.0000 x1  6 Ni 2.59-2.65, 4 Pt 2.63-2.66, 2 Nb 2.64
Pt: 0.1615 0.3457 0.6797 x2  8 Ni 2.55-2.76, 1 Nb 2.66, 3 Pt 2.70-2.78
Pt: 0.4147 0.8221 0.6700 x2  8 Ni 2.60-2.66, 1 Nb 2.69, 3 Pt 2.78

VASP calculation (PBE) on an optimized crystal structure of BaCu3.

Computed properties:
ΔH_f (0 K)	0.21	eV/atom
energy	-3.339	eV/atom
magnetic moment	0.0	Bohr magnetons per cell

Cell lengths 4.3032, 5.8508, 7.4344 Å; angles 90.00, 90.00, 90.00 degrees
With the nearest neighbours (Å) after each atom.
Space group Immm (No. 71)
Inequivalent atoms, fractional coordinates:
Ba: 0.0000 0.0000 0.0000 x2  8 Cu 3.17-3.29
Cu: 0.0000 0.0000 0.5000 x2  4 Cu 2.47
Cu: 0.0000 0.5000 0.1645 x4  3 Cu 2.45-2.47

VASP calculation (PBE) on an optimized crystal structure of NiGeTe2.

Computed properties:
energy relative to the elements, uncorrected	0.387	eV per atom
energy	-3.784	eV/atom
energy relative to the lowest polymorph listed for this composition	0.391	eV per atom
magnetic moment	0.0	Bohr magnetons per cell

Cell lengths 6.9968, 6.9968, 6.9968 Å; angles 90.00, 90.00, 90.00 degrees
With the nearest neighbours (Å) after each atom.
Space group Fm-3m (No. 225)
Inequivalent atoms, fractional coordinates:
Ni: 0.0000 0.0000 0.0000 x4  8 Te 3.03
Ge: 0.0000 0.0000 0.5000 x4  8 Te 3.03
Te: 0.2500 0.2500 0.2500 x8  4 Ge 3.03, 4 Ni 3.03

VASP calculation (PBE) on an optimized crystal structure of Tb4Pm5Mg.

Computed properties:
ΔH_f (0 K)	-0.01	eV/atom
energy	-4.393	eV/atom
magnetic moment	0.0	Bohr magnetons per cell

Cell lengths 3.6243, 3.6243, 24.6392 Å; angles 90.00, 90.00, 90.00 degrees
With the nearest neighbours (Å) after each atom.
Space group P4/mmm (No. 123)
Inequivalent atoms, fractional coordinates:
Tb: 0.0000 0.0000 0.1028 x2  8 Pm 3.60, 4 Tb 3.62
Tb: 0.0000 0.0000 0.3086 x2  8 Pm 3.58-3.61, 4 Tb 3.62
Pm: 0.5000 0.5000 0.0000 x1  8 Tb 3.60, 4 Pm 3.62
Pm: 0.5000 0.5000 0.2054 x2  8 Tb 3.60-3.61, 4 Pm 3.62
Pm: 0.5000 0.5000 0.4100 x2  4 Mg 3.39, 4 Tb 3.58, 4 Pm 3.62
Mg: 0.0000 0.0000 0.5000 x1  8 Pm 3.39, 4 Mg 3.62

VASP calculation (PBE) on an optimized crystal structure of P2PbSe.

Computed properties:
energy relative to the elements, uncorrected	0.428	eV per atom
energy	-4.075	eV/atom
energy relative to the lowest polymorph listed for this composition	0.447	eV per atom
magnetic moment	0.0	Bohr magnetons per cell

Cell lengths 5.5167, 5.5167, 14.4376 Å; angles 90.00, 90.00, 90.00 degrees
With the nearest neighbours (Å) after each atom.
Space group I-42d (No. 122)
Inequivalent atoms, fractional coordinates:
P: 0.1960 0.2500 0.1250 x8  2 Se 2.52
Pb: 0.0000 0.0000 0.5000 x4  4 P 2.82
Se: 0.0000 0.0000 0.0000 x4  4 P 2.52

VASP calculation (PBE) on an optimized crystal structure of MgScMnRu.

Computed properties:
ΔH_f (0 K)	-0.07	eV/atom
energy	-6.660	eV/atom
magnetic moment	14.0	Bohr magnetons per cell

Cell lengths 6.4140, 6.4140, 6.4140 Å; angles 90.00, 90.00, 90.00 degrees
With the nearest neighbours (Å) after each atom.
Space group F-43m (No. 216)
Inequivalent atoms, fractional coordinates:
Mg: 0.0000 0.0000 0.0000 x4  4 Mn 2.78, 4 Ru 2.78
Sc: 0.0000 0.0000 0.5000 x4  4 Mn 2.78, 4 Ru 2.78
Mn: 0.2500 0.2500 0.2500 x4  4 Mg 2.78, 4 Sc 2.78
Ru: 0.2500 0.2500 0.7500 x4  4 Mg 2.78, 4 Sc 2.78

VASP calculation (PBE) on an optimized crystal structure of PmAl3Ir3.

Computed properties:
ΔH_f (0 K)	-0.18	eV/atom
energy	-6.261	eV/atom
magnetic moment	0.0	Bohr magnetons per cell

Cell lengths 6.7077, 6.7077, 6.7077 Å; angles 90.00, 90.00, 90.00 degrees
With the nearest neighbours (Å) after each atom.
Space group Pm-3n (No. 223)
Inequivalent atoms, fractional coordinates:
Pm: 0.0000 0.0000 0.0000 x2  12 Al 3.75, 12 Ir 3.75
Al: 0.0000 0.2500 0.5000 x6  4 Ir 2.37
Ir: 0.0000 0.5000 0.2500 x6  4 Al 2.37

Repeat the fifth record exactly.
VASP calculation (PBE) on an optimized crystal structure of Tb4Pm5Mg.

Computed properties:
ΔH_f (0 K)	-0.01	eV/atom
energy	-4.393	eV/atom
magnetic moment	0.0	Bohr magnetons per cell

Cell lengths 3.6243, 3.6243, 24.6392 Å; angles 90.00, 90.00, 90.00 degrees
With the nearest neighbours (Å) after each atom.
Space group P4/mmm (No. 123)
Inequivalent atoms, fractional coordinates:
Tb: 0.0000 0.0000 0.1028 x2  8 Pm 3.60, 4 Tb 3.62
Tb: 0.0000 0.0000 0.3086 x2  8 Pm 3.58-3.61, 4 Tb 3.62
Pm: 0.5000 0.5000 0.0000 x1  8 Tb 3.60, 4 Pm 3.62
Pm: 0.5000 0.5000 0.2054 x2  8 Tb 3.60-3.61, 4 Pm 3.62
Pm: 0.5000 0.5000 0.4100 x2  4 Mg 3.39, 4 Tb 3.58, 4 Pm 3.62
Mg: 0.0000 0.0000 0.5000 x1  8 Pm 3.39, 4 Mg 3.62

Repeat the fourth record exactly.
VASP calculation (PBE) on an optimized crystal structure of NiGeTe2.

Computed properties:
energy relative to the elements, uncorrected	0.387	eV per atom
energy	-3.784	eV/atom
energy relative to the lowest polymorph listed for this composition	0.391	eV per atom
magnetic moment	0.0	Bohr magnetons per cell

Cell lengths 6.9968, 6.9968, 6.9968 Å; angles 90.00, 90.00, 90.00 degrees
With the nearest neighbours (Å) after each atom.
Space group Fm-3m (No. 225)
Inequivalent atoms, fractional coordinates:
Ni: 0.0000 0.0000 0.0000 x4  8 Te 3.03
Ge: 0.0000 0.0000 0.5000 x4  8 Te 3.03
Te: 0.2500 0.2500 0.2500 x8  4 Ge 3.03, 4 Ni 3.03